Record 1
# PBE YCo2Pt, optimized geometry
# Formation energy from the elements = -0.0573 eV per atom
# E = -6.7364 eV/atom
data_YCo2Pt
_cell_length_a 4.066
_cell_length_b 4.066
_cell_length_c 18.145
_cell_angle_alpha 90.00
_cell_angle_beta 90.00
_cell_angle_gamma 90.00
_space_group_name_H-M_alt 'I -4 2 d'
_space_group_IT_number 122
_space_group_name_Hall 'I -4 2bw'
loop_
_atom_site_label
_atom_site_fract_x
_atom_site_fract_y
_atom_site_fract_z
Y1 0.000 0.000 0.000
Co1 0.115 0.250 0.625
Pt1 0.000 0.000 0.500

Record 2
# PBE Y5Co2Pt, optimized geometry
# Formation energy from the elements = -0.4721 eV per atom
# E = -7.0437 eV/atom
data_Y5Co2Pt
_cell_length_a 7.183
_cell_length_b 7.183
_cell_length_c 14.333
_cell_angle_alpha 90.00
_cell_angle_beta 90.00
_cell_angle_gamma 90.00
_space_group_name_H-M_alt 'I 4/m c m'
_space_group_IT_number 140
_space_group_name_Hall '-I 4 2c'
loop_
_atom_site_label
_atom_site_fract_x
_atom_site_fract_y
_atom_site_fract_z
Y1 0.000 0.000 0.000
Y2 0.177 0.323 0.141
Co1 0.111 0.389 0.500
Pt1 0.000 0.000 0.250

Record 3
# PBE YCo2Pt, optimized geometry
# Formation energy from the elements = -0.0944 eV per atom
# E = -6.7735 eV/atom
data_YCo2Pt
_cell_length_a 6.410
_cell_length_b 6.410
_cell_length_c 6.410
_cell_angle_alpha 90.00
_cell_angle_beta 90.00
_cell_angle_gamma 90.00
_space_group_name_H-M_alt 'F -4 3 m'
_space_group_IT_number 216
_space_group_name_Hall 'F -4 2 3'
loop_
_atom_site_label
_atom_site_fract_x
_atom_site_fract_y
_atom_site_fract_z
Y1 0.000 0.000 0.000
Co1 0.000 0.000 0.500
Co2 0.250 0.250 0.250
Pt1 0.250 0.250 0.750

Record 4
# PBE YCo2Pt, optimized geometry
# Formation energy from the elements = 0.4450 eV per atom
# E = -6.2342 eV/atom
data_YCo2Pt
_cell_length_a 2.9196
_cell_length_b 2.9196
_cell_length_c 26.5962
_cell_angle_alpha 90.00
_cell_angle_beta 90.00
_cell_angle_gamma 120.00
_space_group_name_H-M_alt 'R -3 m'
_space_group_IT_number 166
_space_group_name_Hall '-R 3 2"'
loop_
_atom_site_label
_atom_site_fract_x
_atom_site_fract_y
_atom_site_fract_z
Y1 0.0000 0.0000 0.0000
Co1 0.0000 0.0000 0.2428
Pt1 0.0000 0.0000 0.5000